a) CrFe2Cl | PBE | optimized geometry

Calculated values
- mass density (g/cm3) = 4.99

Cell lengths 5.324, 5.324, 9.352 Å; angles 90.00, 90.00, 90.00 degrees
Space group I-42d (No. 122)
Unique sites:
Cr 0.000 0.000 0.000
Fe 0.244 0.250 0.125
Cl 0.000 0.000 0.500

***

b) CrFe2Cl | PBE | optimized geometry

Calculated values
- mass density (g/cm3) = 6.36

Cell lengths 2.803, 4.204, 8.823 Å; angles 90.00, 90.00, 90.00 degrees
Space group Immm (No. 71)
Unique sites:
Cr 0.000 0.000 0.000
Fe 0.000 0.500 0.234
Cl 0.000 0.000 0.500

***

Quick ranking, most stable first: b), a).